SrCd6Sn6 | GGA-PBE | relaxed

SG = Immm, No. 71
ΔE_f = -0.06 eV/atom

```
SrCd6Sn6
1.0
-4.2309 -2.8573 3.2469
2.0440 -7.8045 1.4326
0.9371 1.3319 8.0305
Sr Cd Sn
1 6 6
direct
0.0000 0.0000 0.0000 Sr
0.0000 0.5000 0.0000 Cd
0.5000 0.5000 0.0000 Cd
0.0000 0.0000 0.5000 Cd
0.5000 0.0000 0.5000 Cd
0.5000 0.7804 0.2196 Cd
0.5000 0.2196 0.7804 Cd
0.3492 0.6508 0.6508 Sn
0.6508 0.3492 0.3492 Sn
0.0000 0.3596 0.6404 Sn
0.0000 0.6404 0.3596 Sn
0.3033 0.1967 0.1967 Sn
0.6967 0.8033 0.8033 Sn
```



Sr2Cd2Sn3 | GGA-PBE | relaxed

SG = Cmcm, No. 63
ΔE_f = -0.44 eV/atom

```
Sr2Cd2Sn3
1.0
4.9324 0.0000 -1.1759
0.0000 7.7579 0.0000
0.0317 0.0000 11.0653
Sr Cd Sn
4 4 6
direct
0.1545 0.2500 0.3091 Sr
0.8455 0.7500 0.6909 Sr
0.9541 0.2500 0.9082 Sr
0.0459 0.7500 0.0918 Sr
0.6924 0.9481 0.3847 Cd
0.3076 0.0519 0.6153 Cd
0.3076 0.4481 0.6153 Cd
0.6924 0.5519 0.3847 Cd
0.2180 0.7500 0.4361 Sn
0.7820 0.2500 0.5639 Sn
0.5633 0.4363 0.1267 Sn
0.4367 0.5637 0.8733 Sn
0.4367 0.9363 0.8733 Sn
0.5633 0.0637 0.1267 Sn
```



SrCd3Sn2 | GGA-PBE | relaxed

SG = C2/m, No. 12
ΔE_f = -0.25 eV/atom

```
SrCd3Sn2
1.0
-0.5565 1.1242 -4.8501
6.3247 -7.1999 0.1926
-7.7840 -2.1035 0.4056
Sr Cd Sn
2 6 4
direct
0.8738 0.7477 0.9268 Sr
0.1262 0.2523 0.0732 Sr
0.3095 0.6190 0.5279 Cd
0.9444 0.8887 0.5766 Cd
0.6424 0.2849 0.7929 Cd
0.3576 0.7151 0.2071 Cd
0.0556 0.1113 0.4234 Cd
0.6905 0.3810 0.4721 Cd
0.4860 0.9720 0.8040 Sn
0.5140 0.0280 0.1960 Sn
0.7773 0.5546 0.2375 Sn
0.2227 0.4454 0.7625 Sn
```



Sr3Cd9Sn2 | GGA-PBE | relaxed

SG = Immm, No. 71
ΔE_f = -0.29 eV/atom

```
Sr3Cd9Sn2
1.0
-3.6894 1.9667 -2.5855
-7.5335 -0.8495 5.4306
-1.5908 8.3113 3.9190
Sr Cd Sn
3 9 2
direct
0.0000 0.0000 0.0000 Sr
0.6940 0.3060 0.3060 Sr
0.3060 0.6940 0.6940 Sr
0.0000 0.5000 0.5000 Cd
0.6625 0.9675 0.7075 Cd
0.3375 0.0325 0.2925 Cd
0.6625 0.7075 0.9675 Cd
0.3375 0.2925 0.0325 Cd
0.8595 0.8615 0.4196 Cd
0.1405 0.1385 0.5804 Cd
0.8595 0.4196 0.8615 Cd
0.1405 0.5804 0.1385 Cd
0.5000 0.3012 0.6988 Sn
0.5000 0.6988 0.3012 Sn
```



Sr2Cd3Sn5 | GGA-PBE | relaxed

SG = P-4m2, No. 115
ΔE_f = -0.25 eV/atom

```
Sr2Cd3Sn5
1.0
-2.2289 -3.7265 -2.8982
3.2147 1.1490 -3.9497
7.4312 -7.4608 3.8781
Sr Cd Sn
2 3 5
direct
0.5000 0.0000 0.2595 Sr
0.0000 0.5000 0.7405 Sr
0.5000 0.0000 0.6212 Cd
0.0000 0.5000 0.3788 Cd
0.0000 0.0000 0.5000 Cd
0.5000 0.5000 0.0000 Sn
0.0000 0.0000 0.0000 Sn
0.5000 0.0000 0.8719 Sn
0.0000 0.5000 0.1281 Sn
0.5000 0.5000 0.5000 Sn
```



Sr3Cd2Sn3 | GGA-PBE | relaxed

SG = Cmcm, No. 63
ΔE_f = -0.56 eV/atom

```
Sr3Cd2Sn3
1.0
5.0695 0.0000 0.0000
-2.5347 5.9795 0.0000
0.0000 0.0000 16.4515
Sr Cd Sn
6 4 6
direct
0.9106 0.8213 0.3906 Sr
0.0894 0.1787 0.8906 Sr
0.9106 0.8213 0.1094 Sr
0.0894 0.1787 0.6094 Sr
0.6354 0.2708 0.2500 Sr
0.3646 0.7292 0.7500 Sr
0.7894 0.5788 0.9019 Cd
0.2106 0.4212 0.4019 Cd
0.7894 0.5788 0.5981 Cd
0.2106 0.4212 0.0981 Cd
0.6129 0.2258 0.4625 Sn
0.3871 0.7742 0.9625 Sn
0.6129 0.2258 0.0375 Sn
0.3871 0.7742 0.5375 Sn
0.3415 0.6829 0.2500 Sn
0.6585 0.3171 0.7500 Sn
```



Sr2Cd3Sn | GGA-PBE | relaxed

SG = Fmmm, No. 69
ΔE_f = -0.43 eV/atom

```
Sr2Cd3Sn
1.0
-4.7191 -2.3997 -3.7252
-4.4401 -1.9753 4.2767
0.7813 10.1030 -0.5631
Sr Cd Sn
4 6 2
direct
0.7500 0.2500 0.5000 Sr
0.7528 0.2472 0.0000 Sr
0.2500 0.7500 0.5000 Sr
0.2472 0.7528 0.0000 Sr
0.8332 0.8332 0.1652 Cd
0.6680 0.6680 0.8348 Cd
0.1668 0.1668 0.8348 Cd
0.3320 0.3320 0.1652 Cd
0.1657 0.1657 0.3315 Cd
0.8343 0.8343 0.6685 Cd
0.6651 0.6651 0.3302 Sn
0.3349 0.3349 0.6698 Sn
```



Sr5Cd4Sn | GGA-PBE | relaxed

SG = P4/mmm, No. 123
ΔE_f = -0.39 eV/atom

```
Sr5Cd4Sn
1.0
4.0158 0.0000 0.0000
0.0000 4.0158 0.0000
0.0000 0.0000 20.6867
Sr Cd Sn
5 4 1
direct
0.5000 0.5000 0.1003 Sr
0.5000 0.5000 0.3005 Sr
0.5000 0.5000 0.5000 Sr
0.5000 0.5000 0.6995 Sr
0.5000 0.5000 0.8997 Sr
0.0000 0.0000 0.2021 Cd
0.0000 0.0000 0.4011 Cd
0.0000 0.0000 0.5989 Cd
0.0000 0.0000 0.7979 Cd
0.0000 0.0000 0.0000 Sn
```